[1]
Here is a relaxed Zr2TcBiO crystal from Alexandria via LeMat-Bulk. Energies are from PBE.

Summary:
Its total energy is -7.509 eV/atom. The total magnetization is 0.0 μB/cell.

Lattice parameters (Å, degrees): 5.289 3.791 5.289 90.00 90.00 90.00
Element x y z (fractional)
Bi1 0.500 0.500 0.500
O1 0.000 0.500 0.000
Tc1 0.000 0.000 0.000
Zr1 0.000 0.000 0.500
Zr2 0.500 0.000 0.000

[2]
Here is a relaxed BiTeO2 crystal from Alexandria via LeMat-Bulk. Energies are from PBE.

Summary:
Its relative energy among the computed polymorphs is 0.0000 eV/atom. Its total energy is -4.964 eV/atom. The total magnetization is 0.0 μB/cell.

Lattice parameters (Å, degrees): 7.057 7.057 7.057 30.04 30.04 30.04
Element x y z (fractional)
O1 0.110 0.110 0.110
O2 0.890 0.890 0.890
Te1 0.000 0.000 0.000
Bi1 0.500 0.500 0.500

[3]
Here is a relaxed Bi5Te2O12 crystal from Alexandria via LeMat-Bulk. Energies are from PBE.

Summary:
Its total energy is -5.537 eV/atom. The total magnetization is 0.0 μB/cell.

Lattice parameters (Å, degrees): 6.238 7.336 7.917 107.29 90.00 115.16
Element x y z (fractional)
Bi1 0.306 0.612 0.188
Bi2 0.710 0.420 0.352
Bi3 0.000 0.000 0.500
Bi4 0.694 0.388 0.812
Bi5 0.290 0.580 0.648
O1 0.504 0.007 0.831
O2 0.098 0.666 0.895
O3 0.902 0.334 0.105
O4 0.601 0.697 0.415
O5 0.005 0.010 0.796
O6 0.496 0.993 0.169
O7 0.568 0.666 0.895
O8 0.432 0.334 0.105
O9 0.399 0.303 0.585
O10 0.096 0.697 0.415
O11 0.995 0.990 0.204
O12 0.904 0.303 0.585
Te1 0.759 0.000 0.000
Te2 0.241 0.000 0.000

[4]
Here is a relaxed Bi4Te5O crystal from Alexandria via LeMat-Bulk. Energies are from PBE.

Summary:
Its total energy is -3.789 eV/atom. The total magnetization is 0.0 μB/cell.

Lattice parameters (Å, degrees): 4.169 8.185 10.144 107.76 101.86 90.00
Element x y z (fractional)
Bi1 0.990 0.788 0.980
Bi2 0.337 0.953 0.674
Bi3 0.010 0.212 0.020
Bi4 0.663 0.047 0.326
Te1 0.818 0.222 0.637
Te2 0.500 0.500 0.000
Te3 0.163 0.333 0.326
Te4 0.182 0.778 0.363
Te5 0.837 0.667 0.674
O1 0.500 0.000 0.000

[5]
Here is a relaxed BiTeO4 crystal from Alexandria via LeMat-Bulk. Energies are from PBE.

Summary:
Its relative energy among the computed polymorphs is 0.2296 eV/atom. Its total energy is -5.395 eV/atom. The total magnetization is 0.0 μB/cell.

Lattice parameters (Å, degrees): 5.748 5.748 7.441 90.00 90.00 90.50
Element x y z (fractional)
Te1 0.830 0.830 0.250
Te2 0.170 0.170 0.750
O1 0.655 0.655 0.426
O2 0.345 0.345 0.574
O3 0.320 0.868 0.750
O4 0.680 0.132 0.250
O5 0.132 0.680 0.250
O6 0.868 0.320 0.750
O7 0.655 0.655 0.074
O8 0.345 0.345 0.926
Bi1 0.419 0.419 0.250
Bi2 0.581 0.581 0.750

[6]
Here is a relaxed BiTe2O6 crystal from Alexandria via LeMat-Bulk. Energies are from PBE.

Summary:
Its relative energy among the computed polymorphs is 0.0000 eV/atom. Its total energy is -5.434 eV/atom. The total magnetization is 0.0 μB/cell.

Lattice parameters (Å, degrees): 4.039 5.654 7.442 71.33 74.26 69.08
Element x y z (fractional)
O1 0.351 0.700 0.598
O2 0.649 0.300 0.402
O3 0.294 0.288 0.125
O4 0.966 0.847 0.221
O5 0.706 0.712 0.875
O6 0.034 0.153 0.779
Te1 0.814 0.218 0.154
Te2 0.186 0.782 0.846
Bi1 0.000 0.500 0.500

[7]
Here is a relaxed BiTe3O crystal from Alexandria via LeMat-Bulk. Energies are from PBE.

Summary:
Its relative energy among the computed polymorphs is 1.1405 eV/atom. Its total energy is -2.405 eV/atom. The total magnetization is 0.0 μB/cell.

Lattice parameters (Å, degrees): 5.870 5.870 5.870 90.00 90.00 90.00
Element x y z (fractional)
Te1 0.000 0.500 0.000
Te2 0.000 0.000 0.500
Te3 0.500 0.000 0.000
Bi1 0.000 0.000 0.000
O1 0.500 0.500 0.500

[8]
Here is a relaxed BiTeO3 crystal from Alexandria via LeMat-Bulk. Energies are from PBE.

Summary:
Its total energy is -5.278 eV/atom. The total magnetization is 0.0 μB/cell.

Lattice parameters (Å, degrees): 4.347 7.389 6.840 90.00 105.10 90.00
Element x y z (fractional)
Te1 0.187 0.750 0.897
Te2 0.813 0.250 0.103
O1 0.071 0.570 0.691
O2 0.189 0.250 0.007
O3 0.811 0.750 0.993
O4 0.071 0.930 0.691
O5 0.929 0.070 0.309
O6 0.929 0.430 0.309
Bi1 0.065 0.250 0.638
Bi2 0.935 0.750 0.362

[9]
Here is a relaxed BiTeO4 crystal from Alexandria via LeMat-Bulk. Energies are from PBE.

Summary:
Its relative energy among the computed polymorphs is 0.0969 eV/atom. Its total energy is -5.528 eV/atom. The total magnetization is 0.0 μB/cell.

Lattice parameters (Å, degrees): 5.081 5.838 6.716 100.84 112.23 90.00
Element x y z (fractional)
O1 0.508 0.462 0.190
O2 0.185 0.228 0.380
O3 0.805 0.272 0.620
O4 0.815 0.772 0.620
O5 0.195 0.728 0.380
O6 0.492 0.538 0.810
O7 0.318 0.038 0.810
O8 0.682 0.962 0.190
Bi1 0.722 0.250 0.000
Bi2 0.278 0.750 0.000
Te1 0.500 0.500 0.500
Te2 0.000 0.000 0.500

[10]
Here is a relaxed Bi3Te2O2 crystal from Alexandria via LeMat-Bulk. Energies are from PBE.

Summary:
Its total energy is -4.561 eV/atom. The total magnetization is 0.0 μB/cell.

Lattice parameters (Å, degrees): 4.233 7.883 7.136 127.65 107.25 90.00
Element x y z (fractional)
Te1 0.424 0.188 0.847
Te2 0.576 0.812 0.153
Bi1 0.193 0.619 0.385
Bi2 0.807 0.381 0.615
Bi3 0.000 0.000 0.000
O1 0.786 0.648 0.573
O2 0.214 0.352 0.427

[11]
Here is a relaxed BiTeO3 crystal from Alexandria via LeMat-Bulk. Energies are from PBE.

Summary:
Its total energy is -4.548 eV/atom. The total magnetization is 0.0 μB/cell.

Lattice parameters (Å, degrees): 4.309 4.309 4.309 90.00 90.00 90.00
Element x y z (fractional)
O1 0.500 0.000 0.000
O2 0.000 0.500 0.000
O3 0.000 0.000 0.500
Bi1 0.000 0.000 0.000
Te1 0.500 0.500 0.500

[12]
Here is a relaxed BiTeO4 crystal from Alexandria via LeMat-Bulk. Energies are from PBE.

Summary:
Its relative energy among the computed polymorphs is 0.2149 eV/atom. Its total energy is -5.410 eV/atom. The total magnetization is 0.0 μB/cell.

Lattice parameters (Å, degrees): 7.626 7.486 9.338 72.53 66.82 58.34
Element x y z (fractional)
O1 0.802 0.013 0.837
O2 0.320 0.613 0.932
O3 0.216 0.044 0.981
O4 0.417 0.177 0.618
O5 0.637 0.596 0.217
O6 0.886 0.182 0.301
O7 0.095 0.595 0.496
O8 0.336 0.885 0.089
O9 0.263 0.291 0.162
O10 0.696 0.289 0.054
O11 0.628 0.746 0.701
O12 0.014 0.315 0.773
O13 0.463 0.546 0.568
O14 0.948 0.715 0.204
O15 0.526 0.893 0.385
O16 0.895 0.026 0.663
Te1 0.906 0.321 0.098
Te2 0.251 0.559 0.160
Te3 0.204 0.459 0.670
Te4 0.697 0.589 0.403
Bi1 0.688 0.379 0.796
Bi2 0.783 0.935 0.516
Bi3 0.275 0.929 0.754
Bi4 0.554 0.981 0.121